DFT (PBE-GGA) results for a relaxed structure of DyFe2Co3.

Results
**Space group**: Cmcm
**Crystal system**: orthorhombic
**E**: -85.88 eV/cell

The structure in POSCAR format:
```
DyFe2Co3
1.0
-1.2959 2.7300 -3.5430
4.0193 -2.8485 -3.6650
-4.9283 -3.5429 -0.9272
Fe Co Dy
4 6 2
direct
0.0000 0.2176 0.7824
0.0000 0.7824 0.2176
0.5000 0.2176 0.7824
0.5000 0.7824 0.2176
0.2500 0.9371 0.9371
0.7500 0.0629 0.0629
0.7500 0.4602 0.0630
0.2500 0.5398 0.9370
0.7500 0.0630 0.4602
0.2500 0.9370 0.5398
0.2500 0.3102 0.3102
0.7500 0.6898 0.6898
```